(1)
A relaxed structure of Cd3BrO3. Source: the Alexandria database, functional PBE.

The structure in POSCAR format:
```
Cd3BrO3
1.0
3.291 1.900 7.225
-3.291 1.900 7.225
0.000 -3.800 7.225
Cd Br O
6 2 6
direct
0.044 0.739 0.401
0.261 0.599 0.956
0.401 0.044 0.739
0.599 0.956 0.261
0.739 0.401 0.044
0.956 0.261 0.599
0.167 0.167 0.167
0.833 0.833 0.833
0.067 0.378 0.704
0.296 0.933 0.622
0.378 0.704 0.067
0.622 0.296 0.933
0.704 0.067 0.378
0.933 0.622 0.296
```

raw total energy = -48.703 eV for the cell shown
crystal system = trigonal
energy relative to the elements, uncorrected = -5.06 eV per formula unit

=====

(2)
A relaxed structure of Cd8BrO6. Source: the Alexandria database, functional PBE.

The structure in POSCAR format:
```
Cd8BrO6
1.0
9.783 0.000 0.000
-4.891 8.472 0.000
0.000 0.000 3.717
Cd Br O
8 1 6
direct
0.031 0.705 0.235
0.295 0.327 0.235
0.327 0.031 0.765
0.333 0.667 0.722
0.667 0.333 0.278
0.673 0.969 0.235
0.705 0.673 0.765
0.969 0.295 0.765
0.000 0.000 0.000
0.177 0.771 0.735
0.229 0.406 0.735
0.406 0.177 0.265
0.594 0.823 0.735
0.771 0.594 0.265
0.823 0.229 0.265
```

raw total energy = -50.351 eV for the cell shown
crystal system = trigonal
energy relative to the elements, uncorrected = -11.61 eV per formula unit

=====

(3)
A relaxed structure of CdBr2O6. Source: the Alexandria database, functional PBE.

The structure in POSCAR format:
```
CdBr2O6
1.0
4.783 -4.947 0.000
4.783 4.947 0.000
-2.425 0.000 6.722
Cd Br O
2 4 12
direct
0.087 0.913 0.750
0.913 0.087 0.250
0.202 0.416 0.742
0.416 0.202 0.242
0.584 0.798 0.758
0.798 0.584 0.258
0.040 0.198 0.621
0.050 0.597 0.801
0.198 0.040 0.121
0.287 0.467 0.559
0.403 0.950 0.699
0.467 0.287 0.059
0.533 0.713 0.941
0.597 0.050 0.301
0.713 0.533 0.441
0.802 0.960 0.879
0.950 0.403 0.199
0.960 0.802 0.379
```

raw total energy = -69.613 eV for the cell shown
crystal system = monoclinic
energy relative to the elements, uncorrected = -0.80 eV per formula unit

=====

Question: What is the formula in the third record?
Answer: CdBr2O6

=====

Please write out number 3 again, unchanged.
A relaxed structure of CdBr2O6. Source: the Alexandria database, functional PBE.

The structure in POSCAR format:
```
CdBr2O6
1.0
4.783 -4.947 0.000
4.783 4.947 0.000
-2.425 0.000 6.722
Cd Br O
2 4 12
direct
0.087 0.913 0.750
0.913 0.087 0.250
0.202 0.416 0.742
0.416 0.202 0.242
0.584 0.798 0.758
0.798 0.584 0.258
0.040 0.198 0.621
0.050 0.597 0.801
0.198 0.040 0.121
0.287 0.467 0.559
0.403 0.950 0.699
0.467 0.287 0.059
0.533 0.713 0.941
0.597 0.050 0.301
0.713 0.533 0.441
0.802 0.960 0.879
0.950 0.403 0.199
0.960 0.802 0.379
```

raw total energy = -69.613 eV for the cell shown
crystal system = monoclinic
energy relative to the elements, uncorrected = -0.80 eV per formula unit

=====

Question: Which formula does entry 2 have?
Answer: Cd8BrO6